DFT (PBE) results for CsNdIBr3 after structural relaxation.

Geometry as POSCAR:
```
CsNdIBr3
1.0
3.748 -13.730 0.000
3.748 13.730 0.000
0.000 0.000 7.727
Cs Nd I Br
2 2 2 6
Direct
0.245 0.755 0.750
0.755 0.245 0.250
0.464 0.536 0.250
0.536 0.464 0.750
0.213 0.787 0.250
0.787 0.213 0.750
0.246 0.246 0.000
0.246 0.246 0.500
0.366 0.634 0.250
0.634 0.366 0.750
0.754 0.754 0.000
0.754 0.754 0.500
```

Output
Energy relative to the elements, uncorrected, kcal/mol of atoms: -37.9
Space-group type: Cmcm

=====

DFT (PBE) results for BeCr2Tc after structural relaxation.

Geometry as POSCAR:
```
BeCr2Tc
1.0
6.544 0.000 0.000
0.000 6.544 0.000
0.000 0.000 4.513
Be Cr Tc
4 8 4
Direct
0.000 0.000 0.000
0.000 0.500 0.250
0.500 0.000 0.750
0.500 0.500 0.500
0.201 0.250 0.125
0.250 0.701 0.375
0.250 0.799 0.875
0.299 0.250 0.625
0.701 0.750 0.625
0.750 0.201 0.875
0.750 0.299 0.375
0.799 0.750 0.125
0.000 0.000 0.500
0.000 0.500 0.750
0.500 0.000 0.250
0.500 0.500 0.000
```

Output
DOS at the Fermi energy, states/eV/cell: 21.41
Energy of formation from the pure elements, eV/f.u.: 2.61
Space-group type: I-42d

=====

no.,total moment (μB per cell)
1,0.250
2,0.000